Compound: NiS2Br
Source: the Alexandria database
Functional: PBE-GGA
Structure: optimized geometry

Cell lengths 3.497, 3.740, 7.401 Å; angles 89.96, 90.02, 89.98 degrees
Atoms (fractional coordinates):
S  0.366  0.072  0.593
S  0.365  0.072  0.334
Br  0.866  0.572  0.969
Ni  0.865  0.072  0.170

Properties
ΔE to the lowest computed polymorph: 93 meV/atom
density: 3.48 Mg/m³
calculated volume: 24.20 Å³/atom
ΔE_f (raw): -43 meV/atom
symmetry: Pmm2, No. 25